Material: Rb8SeO2
Method: DFT, PBE
State: optimized geometry

POSCAR file:
```
Rb8SeO2
1.0
8.488 -6.455 0.000
8.488 6.455 0.000
-0.888 0.000 5.540
Rb Se O
8 1 2
Cartesian
5.839 4.570 4.787
2.941 0.000 3.728
10.250 4.570 0.752
6.105 0.000 1.414
9.984 0.000 4.126
5.839 -4.570 4.787
13.148 0.000 1.812
10.250 -4.570 0.752
-0.444 0.000 2.770
3.576 0.000 0.968
12.513 0.000 4.572
```

Output
DOS at the Fermi energy ... 0.282 states/eV per atom
Raw total energy ... -29.18 eV per cell
Raw formation energy ... -70.5 kJ/mol of atoms
Distance to the lowest polymorph of the same formula ... 0.0 meV per atom